Record 1
# NaAsOsPb (GGA-PBE, optimized geometry)
data_NaAsOsPb
_chemical_formula_sum 'Na1 As1 Os1 Pb1'
_cell_length_a 4.717
_cell_length_b 4.717
_cell_length_c 4.717
_cell_angle_alpha 60.00
_cell_angle_beta 60.00
_cell_angle_gamma 60.00
_space_group_name_H-M_alt 'P 1'
_space_group_IT_number 1
_space_group_name_Hall 'P 1'
loop_
_atom_site_label
_atom_site_type_symbol
_atom_site_fract_x
_atom_site_fract_y
_atom_site_fract_z
As1 As 0.000 0.000 0.000
Pb1 Pb 0.500 0.500 0.500
Na1 Na 0.750 0.750 0.750
Os1 Os 0.250 0.250 0.250
# - VASP energy: -4.798 eV per atom

---

Record 2
# PrMgGa (GGA-PBE, optimized geometry)
data_PrMgGa
_chemical_formula_sum 'Pr3 Mg3 Ga3'
_cell_length_a 7.408
_cell_length_b 7.408
_cell_length_c 4.655
_cell_angle_alpha 90.00
_cell_angle_beta 90.00
_cell_angle_gamma 120.00
_space_group_name_H-M_alt 'P 1'
_space_group_IT_number 1
_space_group_name_Hall 'P 1'
loop_
_atom_site_label
_atom_site_type_symbol
_atom_site_fract_x
_atom_site_fract_y
_atom_site_fract_z
Pr1 Pr 0.571 0.000 0.500
Pr2 Pr 0.000 0.571 0.500
Pr3 Pr 0.429 0.429 0.500
Mg1 Mg 0.667 0.333 0.000
Mg2 Mg 0.000 0.000 0.500
Mg3 Mg 0.333 0.667 0.000
Ga1 Ga 0.759 0.759 0.000
Ga2 Ga 0.241 0.000 0.000
Ga3 Ga 0.000 0.241 0.000
# - VASP energy: -3.371 eV per atom

---

Record 3
# Na2BPt2 (GGA-PBE, optimized geometry)
data_Na2BPt2
_chemical_formula_sum 'Na4 B2 Pt4'
_cell_length_a 5.682
_cell_length_b 5.682
_cell_length_c 5.085
_cell_angle_alpha 90.00
_cell_angle_beta 90.00
_cell_angle_gamma 90.00
_space_group_name_H-M_alt 'P 1'
_space_group_IT_number 1
_space_group_name_Hall 'P 1'
loop_
_atom_site_label
_atom_site_type_symbol
_atom_site_fract_x
_atom_site_fract_y
_atom_site_fract_z
Pt1 Pt 0.834 0.666 0.000
Pt2 Pt 0.666 0.166 0.000
Pt3 Pt 0.334 0.834 0.000
Pt4 Pt 0.166 0.334 0.000
B1 B 0.500 0.500 0.000
B2 B 0.000 0.000 0.000
Na1 Na 0.329 0.171 0.500
Na2 Na 0.671 0.829 0.500
Na3 Na 0.829 0.329 0.500
Na4 Na 0.171 0.671 0.500
# - VASP energy: -4.644 eV per atom